# 1
# Dy3Hg7 PBE optimized geometry
# - space-group type = No. 12
# - crystal system = monoclinic
# - E_form (eV/f.u.) = -3.56
data_Dy3Hg7
_space_group_name_H-M_alt 'P 1'
_space_group_IT_number 1
_cell_length_a 4.903
_cell_length_b 6.410
_cell_length_c 8.594
_cell_angle_alpha 108.01
_cell_angle_beta 106.57
_cell_angle_gamma 90.00
loop_
_space_group_symop_operation_xyz
'x,y,z'
loop_
_atom_site_label
_atom_site_fract_x
_atom_site_fract_y
_atom_site_fract_z
_atom_site_occupancy
Hg1 0.401 0.656 0.801 1
Hg2 0.395 0.148 0.791 1
Hg3 0.599 0.344 0.199 1
Dy1 0.201 0.650 0.401 1
Hg4 0.605 0.852 0.209 1
Hg5 0.803 0.857 0.607 1
Dy2 0.000 0.000 0.000 1
Hg6 0.000 0.500 0.000 1
Hg7 0.197 0.143 0.393 1
Dy3 0.799 0.350 0.599 1



# 2
# Dy4Hg PBE optimized geometry
# - space-group type = No. 139
# - crystal system = tetragonal
# - E_form (eV/f.u.) = -0.88
data_Dy4Hg
_space_group_name_H-M_alt 'P 1'
_space_group_IT_number 1
_cell_length_a 3.570
_cell_length_b 3.570
_cell_length_c 11.769
_cell_angle_alpha 98.72
_cell_angle_beta 98.72
_cell_angle_gamma 90.00
loop_
_space_group_symop_operation_xyz
'x,y,z'
loop_
_atom_site_label
_atom_site_fract_x
_atom_site_fract_y
_atom_site_fract_z
_atom_site_occupancy
Dy1 0.804 0.804 0.607 1
Dy2 0.196 0.196 0.393 1
Dy3 0.588 0.588 0.176 1
Hg1 0.000 0.000 0.000 1
Dy4 0.412 0.412 0.824 1



# 3
# Dy3Hg5 PBE optimized geometry
# - space-group type = No. 63
# - crystal system = orthorhombic
# - E_form (eV/f.u.) = -3.54
data_Dy3Hg5
_space_group_name_H-M_alt 'P 1'
_space_group_IT_number 1
_cell_length_a 6.364
_cell_length_b 6.364
_cell_length_c 10.188
_cell_angle_alpha 90.00
_cell_angle_beta 90.00
_cell_angle_gamma 104.97
loop_
_space_group_symop_operation_xyz
'x,y,z'
loop_
_atom_site_label
_atom_site_fract_x
_atom_site_fract_y
_atom_site_fract_z
_atom_site_occupancy
Hg1 0.292 0.292 0.526 1
Hg2 0.963 0.963 0.750 1
Hg3 0.966 0.527 0.250 1
Hg4 0.708 0.708 0.026 1
Dy1 0.560 0.560 0.750 1
Hg5 0.473 0.034 0.750 1
Hg6 0.034 0.473 0.750 1
Hg7 0.292 0.292 0.974 1
Hg8 0.708 0.708 0.474 1
Dy2 0.213 0.787 0.500 1
Dy3 0.787 0.213 0.000 1
Dy4 0.440 0.440 0.250 1
Dy5 0.787 0.213 0.500 1
Hg9 0.037 0.037 0.250 1
Dy6 0.213 0.787 0.000 1
Hg10 0.527 0.966 0.250 1



# 4
# DyHg2 PBE optimized geometry
# - space-group type = No. 12
# - crystal system = monoclinic
# - E_form (eV/f.u.) = -1.10
data_DyHg2
_space_group_name_H-M_alt 'P 1'
_space_group_IT_number 1
_cell_length_a 4.155
_cell_length_b 4.155
_cell_length_c 13.274
_cell_angle_alpha 55.65
_cell_angle_beta 55.65
_cell_angle_gamma 79.97
loop_
_space_group_symop_operation_xyz
'x,y,z'
loop_
_atom_site_label
_atom_site_fract_x
_atom_site_fract_y
_atom_site_fract_z
_atom_site_occupancy
Hg1 0.418 0.918 0.918 1
Dy1 0.750 0.250 0.250 1
Dy2 0.250 0.750 0.750 1
Hg2 0.082 0.582 0.582 1
Hg3 0.918 0.418 0.418 1
Hg4 0.582 0.082 0.082 1



# 5
# Dy3Hg5 PBE optimized geometry
# - space-group type = No. 65
# - crystal system = orthorhombic
# - E_form (eV/f.u.) = -3.42
data_Dy3Hg5
_space_group_name_H-M_alt 'P 1'
_space_group_IT_number 1
_cell_length_a 5.077
_cell_length_b 6.397
_cell_length_c 6.397
_cell_angle_alpha 105.15
_cell_angle_beta 90.00
_cell_angle_gamma 90.00
loop_
_space_group_symop_operation_xyz
'x,y,z'
loop_
_atom_site_label
_atom_site_fract_x
_atom_site_fract_y
_atom_site_fract_z
_atom_site_occupancy
Hg1 0.000 0.500 0.000 1
Dy1 0.000 0.500 0.500 1
Hg2 0.000 0.000 0.000 1
Hg3 0.500 0.283 0.283 1
Hg4 0.000 0.000 0.500 1
Dy2 0.500 0.215 0.785 1
Dy3 0.500 0.785 0.215 1
Hg5 0.500 0.717 0.717 1



# 6
# Dy13Hg2 PBE optimized geometry
# - space-group type = No. 2
# - crystal system = triclinic
# - E_form (eV/f.u.) = -1.37
data_Dy13Hg2
_space_group_name_H-M_alt 'P 1'
_space_group_IT_number 1
_cell_length_a 6.644
_cell_length_b 8.553
_cell_length_c 8.839
_cell_angle_alpha 113.58
_cell_angle_beta 79.25
_cell_angle_gamma 97.75
loop_
_space_group_symop_operation_xyz
'x,y,z'
loop_
_atom_site_label
_atom_site_fract_x
_atom_site_fract_y
_atom_site_fract_z
_atom_site_occupancy
Dy1 0.249 0.059 0.580 1
Hg1 0.942 0.772 0.619 1
Dy2 0.799 0.232 0.850 1
Dy3 0.121 0.523 0.734 1
Dy4 0.499 0.144 0.204 1
Dy5 0.632 0.411 0.610 1
Dy6 0.879 0.477 0.266 1
Dy7 0.303 0.346 0.971 1
Dy8 0.000 0.000 0.000 1
Dy9 0.697 0.654 0.029 1
Hg2 0.058 0.228 0.381 1
Dy10 0.201 0.768 0.150 1
Dy11 0.368 0.589 0.390 1
Dy12 0.751 0.941 0.420 1
Dy13 0.501 0.856 0.796 1



# 7
# DyHg2 PBE optimized geometry
# - space-group type = No. 227
# - crystal system = cubic
# - E_form (eV/f.u.) = -0.57
data_DyHg2
_space_group_name_H-M_alt 'P 1'
_space_group_IT_number 1
_cell_length_a 5.944
_cell_length_b 5.944
_cell_length_c 5.944
_cell_angle_alpha 60.00
_cell_angle_beta 60.00
_cell_angle_gamma 60.00
loop_
_space_group_symop_operation_xyz
'x,y,z'
loop_
_atom_site_label
_atom_site_fract_x
_atom_site_fract_y
_atom_site_fract_z
_atom_site_occupancy
Hg1 0.625 0.125 0.625 1
Hg2 0.625 0.625 0.125 1
Hg3 0.625 0.625 0.625 1
Dy1 0.000 0.000 0.000 1
Dy2 0.250 0.250 0.250 1
Hg4 0.125 0.625 0.625 1



# 8
# DyHg8 PBE optimized geometry
# - space-group type = No. 139
# - crystal system = tetragonal
# - E_form (eV/f.u.) = -1.18
data_DyHg8
_space_group_name_H-M_alt 'P 1'
_space_group_IT_number 1
_cell_length_a 4.412
_cell_length_b 7.470
_cell_length_c 7.470
_cell_angle_alpha 85.00
_cell_angle_beta 72.82
_cell_angle_gamma 72.82
loop_
_space_group_symop_operation_xyz
'x,y,z'
loop_
_atom_site_label
_atom_site_fract_x
_atom_site_fract_y
_atom_site_fract_z
_atom_site_occupancy
Dy1 0.000 0.000 0.000 1
Hg1 0.334 0.000 0.332 1
Hg2 0.000 0.333 0.667 1
Hg3 0.667 0.333 0.333 1
Hg4 0.666 0.668 0.000 1
Hg5 0.666 0.000 0.668 1
Hg6 0.334 0.332 0.000 1
Hg7 0.333 0.667 0.667 1
Hg8 0.000 0.667 0.333 1



> Which of these has the lowest E_form?

Dy3Hg7